[1]
# CoPAu (PBE-GGA, relaxed)
# - energy of formation from the pure elements (meV/atom) = 10
# - raw total energy (Ry per atom) = -0.3862
data_CoPAu
_symmetry_space_group_name_H-M 'P 1'
_symmetry_Int_Tables_number 1
_cell_length_a 5.2393
_cell_length_b 5.2385
_cell_length_c 2.9619
_cell_angle_alpha 73.59
_cell_angle_beta 73.57
_cell_angle_gamma 32.84
loop_
_symmetry_equiv_pos_as_xyz
'x,y,z'
loop_
_atom_site_label
_atom_site_type_symbol
_atom_site_fract_x
_atom_site_fract_y
_atom_site_fract_z
_atom_site_occupancy
Au1 Au 0.9969 0.9969 0.0031 1
P1 P 0.7081 0.7081 0.2919 1
Co1 Co 0.2950 0.2950 0.7050 1

[2]
# ErTl5F8 (PBE-GGA, relaxed)
# - raw total energy (Ry per atom) = -0.3428
# - formation energy from raw total energies (eV per formula unit) = -33.937
data_ErTl5F8
_symmetry_space_group_name_H-M 'P 1'
_symmetry_Int_Tables_number 1
_cell_length_a 7.0766
_cell_length_b 7.0766
_cell_length_c 7.0766
_cell_angle_alpha 111.88
_cell_angle_beta 111.88
_cell_angle_gamma 104.76
loop_
_symmetry_equiv_pos_as_xyz
'x,y,z'
loop_
_atom_site_label
_atom_site_type_symbol
_atom_site_fract_x
_atom_site_fract_y
_atom_site_fract_z
_atom_site_occupancy
Er1 Er 0.7500 0.2500 0.5000 1
F1 F 0.9345 0.0972 0.6880 1
F2 F 0.4742 0.8685 0.2803 1
F3 F 0.7535 0.0655 0.1627 1
F4 F 0.5882 0.1939 0.7197 1
F5 F 0.4092 0.2465 0.3120 1
F6 F 0.9028 0.5908 0.8373 1
F7 F 0.1315 0.4118 0.6057 1
F8 F 0.8061 0.5258 0.3943 1
Tl1 Tl 0.0073 0.3856 0.1493 1
Tl2 Tl 0.5000 0.5000 0.0000 1
Tl3 Tl 0.2363 0.8579 0.8507 1
Tl4 Tl 0.6144 0.7637 0.6217 1
Tl5 Tl 0.1421 0.9927 0.3783 1

[3]
# LiTlAs2 (PBE-GGA, relaxed)
# - energy of formation from the pure elements (meV/atom) = 41
# - raw total energy (Ry per atom) = -0.2465
data_LiTlAs2
_symmetry_space_group_name_H-M 'P 1'
_symmetry_Int_Tables_number 1
_cell_length_a 5.3763
_cell_length_b 5.3763
_cell_length_c 5.3763
_cell_angle_alpha 131.58
_cell_angle_beta 131.58
_cell_angle_gamma 70.89
loop_
_symmetry_equiv_pos_as_xyz
'x,y,z'
loop_
_atom_site_label
_atom_site_type_symbol
_atom_site_fract_x
_atom_site_fract_y
_atom_site_fract_z
_atom_site_occupancy
As1 As 0.2500 0.7500 0.5000 1
As2 As 0.0000 0.0000 0.0000 1
Li1 Li 0.5000 0.5000 0.0000 1
Tl1 Tl 0.7500 0.2500 0.5000 1

[4]
# TaInAu2 (PBE-GGA, relaxed)
# - energy of formation from the pure elements (meV/atom) = 139
# - raw total energy (Ry per atom) = -0.3784
data_TaInAu2
_symmetry_space_group_name_H-M 'P 1'
_symmetry_Int_Tables_number 1
_cell_length_a 4.7653
_cell_length_b 4.7653
_cell_length_c 3.3687
_cell_angle_alpha 90.00
_cell_angle_beta 90.00
_cell_angle_gamma 90.00
loop_
_symmetry_equiv_pos_as_xyz
'x,y,z'
loop_
_atom_site_label
_atom_site_type_symbol
_atom_site_fract_x
_atom_site_fract_y
_atom_site_fract_z
_atom_site_occupancy
Au1 Au 0.5000 0.5000 0.0000 1
Au2 Au 0.0000 0.0000 0.0000 1
Ta1 Ta 0.0000 0.5000 0.5000 1
In1 In 0.5000 0.0000 0.5000 1

[5]
# MnZn4In (PBE-GGA, relaxed)
# - energy of formation from the pure elements (meV/atom) = 149
# - raw total energy (Ry per atom) = -0.1973
data_MnZn4In
_symmetry_space_group_name_H-M 'P 1'
_symmetry_Int_Tables_number 1
_cell_length_a 5.1970
_cell_length_b 5.1970
_cell_length_c 5.1970
_cell_angle_alpha 60.00
_cell_angle_beta 60.00
_cell_angle_gamma 60.00
loop_
_symmetry_equiv_pos_as_xyz
'x,y,z'
loop_
_atom_site_label
_atom_site_type_symbol
_atom_site_fract_x
_atom_site_fract_y
_atom_site_fract_z
_atom_site_occupancy
Zn1 Zn 0.3739 0.3739 0.8784 1
Zn2 Zn 0.8784 0.3739 0.3739 1
Zn3 Zn 0.3739 0.3739 0.3739 1
Zn4 Zn 0.3739 0.8784 0.3739 1
Mn1 Mn 0.0000 0.0000 0.0000 1
In1 In 0.7500 0.7500 0.7500 1

[6]
# TlGeAs (PBE-GGA, relaxed)
# - polymorph energy (0 for the lowest one) (meV/atom) = 0
# - energy of formation from the pure elements (meV/atom) = 2
# - raw total energy (Ry per atom) = -0.2849
data_TlGeAs
_symmetry_space_group_name_H-M 'P 1'
_symmetry_Int_Tables_number 1
_cell_length_a 3.8524
_cell_length_b 3.8524
_cell_length_c 6.0800
_cell_angle_alpha 90.00
_cell_angle_beta 90.00
_cell_angle_gamma 120.00
loop_
_symmetry_equiv_pos_as_xyz
'x,y,z'
loop_
_atom_site_label
_atom_site_type_symbol
_atom_site_fract_x
_atom_site_fract_y
_atom_site_fract_z
_atom_site_occupancy
As1 As 0.6667 0.3333 0.3973 1
Tl1 Tl 0.0000 0.0000 0.0021 1
Ge1 Ge 0.3333 0.6667 0.6007 1

[7]
# Y2SnHgTe (PBE-GGA, relaxed)
# - polymorph energy (0 for the lowest one) (meV/atom) = 47
# - raw total energy (Ry per atom) = -0.2994
# - formation energy from raw total energies (eV per formula unit) = 0.003
data_Y2SnHgTe
_symmetry_space_group_name_H-M 'P 1'
_symmetry_Int_Tables_number 1
_cell_length_a 5.6850
_cell_length_b 5.4170
_cell_length_c 5.6850
_cell_angle_alpha 90.00
_cell_angle_beta 90.00
_cell_angle_gamma 90.00
loop_
_symmetry_equiv_pos_as_xyz
'x,y,z'
loop_
_atom_site_label
_atom_site_type_symbol
_atom_site_fract_x
_atom_site_fract_y
_atom_site_fract_z
_atom_site_occupancy
Sn1 Sn 0.5000 0.5000 0.5000 1
Y1 Y 0.5000 0.0000 0.0000 1
Y2 Y 0.0000 0.0000 0.5000 1
Te1 Te 0.0000 0.0000 0.0000 1
Hg1 Hg 0.0000 0.5000 0.0000 1

[8]
# ZrCdTc2 (PBE-GGA, relaxed)
# - energy of formation from the pure elements (meV/atom) = 79
# - raw total energy (Ry per atom) = -0.5490
data_ZrCdTc2
_symmetry_space_group_name_H-M 'P 1'
_symmetry_Int_Tables_number 1
_cell_length_a 5.4597
_cell_length_b 5.4597
_cell_length_c 4.5728
_cell_angle_alpha 65.21
_cell_angle_beta 65.21
_cell_angle_gamma 35.38
loop_
_symmetry_equiv_pos_as_xyz
'x,y,z'
loop_
_atom_site_label
_atom_site_type_symbol
_atom_site_fract_x
_atom_site_fract_y
_atom_site_fract_z
_atom_site_occupancy
Tc1 Tc 0.7341 0.7341 0.7660 1
Tc2 Tc 0.0214 0.0214 0.9784 1
Cd1 Cd 0.2606 0.2606 0.2396 1
Zr1 Zr 0.4840 0.4840 0.5160 1

no.,total moment (μB/f.u.)
1,0.0
2,0.0
3,0.0
4,0.8
5,3.7
6,0.0
7,0.0
8,0.0